Record 1
The following is a DFT calculation (PBE) of crystalline Pm2Y5Sn4 at its relaxed geometry.

Output
- Formation enthalpy at 0 K: -0.285 eV/atom
- Total moment: 0.00 μB/cell
- D(E_F): 1.083 states/eV per atom
- Space group: No. 12

Cell: 13.4792 13.4792 7.4151 Å, 90.69 90.69 15.06°
Element x y z (fractional)
Pm 0.2350 0.2350 0.2232
Pm 0.7650 0.7650 0.7768
Y 0.0901 0.0901 0.2982
Y 0.1357 0.1357 0.8324
Y 0.5000 0.5000 0.0000
Y 0.8643 0.8643 0.1676
Y 0.9099 0.9099 0.7018
Sn 0.0288 0.0288 0.6663
Sn 0.3282 0.3282 0.4941
Sn 0.6718 0.6718 0.5059
Sn 0.9712 0.9712 0.3337



Record 2
The following is a DFT calculation (PBE) of crystalline PmY2Sn3 at its relaxed geometry.

Output
- Formation enthalpy at 0 K: -0.650 eV/atom
- Total moment: 0.00 μB/cell
- D(E_F): 0.682 states/eV per atom
- Space group: No. 15

Cell: 8.4851 8.4851 5.8268 Å, 103.59 103.59 114.40°
Element x y z (fractional)
Pm 0.0826 0.9174 0.7500
Pm 0.9174 0.0826 0.2500
Y 0.2494 0.7506 0.2500
Y 0.4167 0.5833 0.7500
Y 0.5833 0.4167 0.2500
Y 0.7506 0.2494 0.7500
Sn 0.0000 0.5000 0.5000
Sn 0.1684 0.3389 0.9943
Sn 0.3389 0.1684 0.4943
Sn 0.5000 0.0000 0.0000
Sn 0.6611 0.8316 0.5057
Sn 0.8316 0.6611 0.0057



Record 3
The following is a DFT calculation (PBE) of crystalline Pm4YSn2 at its relaxed geometry.

Output
- Formation enthalpy at 0 K: -0.301 eV/atom
- Total moment: 0.00 μB/cell
- D(E_F): 0.965 states/eV per atom
- Space group: No. 122

Cell: 8.3245 8.3245 8.3245 Å, 109.87 109.87 108.68°
Element x y z (fractional)
Pm 0.0979 0.5132 0.7429
Pm 0.1050 0.0203 0.7571
Pm 0.2632 0.3479 0.2429
Pm 0.4868 0.2297 0.5847
Pm 0.6450 0.9021 0.4153
Pm 0.6521 0.8950 0.9153
Pm 0.7703 0.3550 0.2571
Pm 0.9797 0.7368 0.0847
Y 0.2500 0.7500 0.5000
Y 0.5000 0.5000 0.0000
Sn 0.0231 0.1250 0.3981
Sn 0.3750 0.9769 0.1019
Sn 0.7269 0.6250 0.6019
Sn 0.8750 0.2731 0.8981



Record 4
The following is a DFT calculation (PBE) of crystalline Pm5YSn3 at its relaxed geometry.

Output
- Formation enthalpy at 0 K: -0.571 eV/atom
- Total moment: 5.71 μB/cell
- D(E_F): 1.019 states/eV per atom
- Space group: No. 193

Cell: 9.5516 9.5516 6.7159 Å, 90.00 90.00 120.00°
Element x y z (fractional)
Pm 0.0000 0.3338 0.2500
Pm 0.0000 0.6662 0.7500
Pm 0.3333 0.6667 0.0000
Pm 0.3333 0.6667 0.5000
Pm 0.3338 0.0000 0.2500
Pm 0.3338 0.3338 0.7500
Pm 0.6662 0.0000 0.7500
Pm 0.6662 0.6662 0.2500
Pm 0.6667 0.3333 0.0000
Pm 0.6667 0.3333 0.5000
Y 0.0000 0.0000 0.0000
Y 0.0000 0.0000 0.5000
Sn 0.0000 0.3311 0.7500
Sn 0.0000 0.6689 0.2500
Sn 0.3311 0.0000 0.7500
Sn 0.3311 0.3311 0.2500
Sn 0.6689 0.0000 0.2500
Sn 0.6689 0.6689 0.7500



Record 5
The following is a DFT calculation (PBE) of crystalline Pm2Y2Sn3 at its relaxed geometry.

Output
- Formation enthalpy at 0 K: -0.548 eV/atom
- Total moment: 0.00 μB/cell
- D(E_F): 0.790 states/eV per atom
- Space group: No. 12

Cell: 10.7779 5.0330 8.6598 Å, 90.00 100.06 90.00°
Element x y z (fractional)
Pm 0.1276 0.0000 0.3514
Pm 0.3724 0.5000 0.6486
Pm 0.6276 0.5000 0.3514
Pm 0.8724 0.0000 0.6486
Y 0.1440 0.5000 0.9236
Y 0.3560 0.0000 0.0764
Y 0.6440 0.0000 0.9236
Y 0.8560 0.5000 0.0764
Sn 0.0000 0.0000 0.0000
Sn 0.1999 0.0000 0.7213
Sn 0.3001 0.5000 0.2787
Sn 0.5000 0.5000 0.0000
Sn 0.6999 0.5000 0.7213
Sn 0.8001 0.0000 0.2787



Record 6
The following is a DFT calculation (PBE) of crystalline PmY2Sn at its relaxed geometry.

Output
- Formation enthalpy at 0 K: -0.402 eV/atom
- Total moment: 4.72 μB/cell
- Energy above the most stable polymorph in this dataset: 24 meV per atom
- D(E_F): 1.365 states/eV per atom
- Space group: No. 63

Cell: 4.2683 12.5157 9.4861 Å, 90.00 90.00 90.00°
Element x y z (fractional)
Pm 0.0000 0.0577 0.2500
Pm 0.0000 0.9423 0.7500
Pm 0.5000 0.4423 0.7500
Pm 0.5000 0.5577 0.2500
Y 0.0000 0.3625 0.0500
Y 0.0000 0.3625 0.4500
Y 0.0000 0.6375 0.5500
Y 0.0000 0.6375 0.9500
Y 0.5000 0.1375 0.5500
Y 0.5000 0.1375 0.9500
Y 0.5000 0.8625 0.0500
Y 0.5000 0.8625 0.4500
Sn 0.0000 0.2443 0.7500
Sn 0.0000 0.7557 0.2500
Sn 0.5000 0.2557 0.2500
Sn 0.5000 0.7443 0.7500



Record 7
The following is a DFT calculation (PBE) of crystalline PmYSn3 at its relaxed geometry.

Output
- Formation enthalpy at 0 K: -0.494 eV/atom
- Total moment: 0.00 μB/cell
- D(E_F): 0.691 states/eV per atom
- Space group: No. 11

Cell: 6.1763 6.1236 7.8797 Å, 90.00 96.55 90.00°
Element x y z (fractional)
Pm 0.1293 0.2500 0.4853
Pm 0.8707 0.7500 0.5147
Y 0.3565 0.7500 0.1838
Y 0.6435 0.2500 0.8162
Sn 0.1530 0.0051 0.8536
Sn 0.1530 0.4949 0.8536
Sn 0.3960 0.7500 0.5974
Sn 0.6040 0.2500 0.4026
Sn 0.8470 0.5051 0.1464
Sn 0.8470 0.9949 0.1464



Record 8
The following is a DFT calculation (PBE) of crystalline Pm2YSn at its relaxed geometry.

Output
- Formation enthalpy at 0 K: -0.440 eV/atom
- Total moment: 0.00 μB/cell
- Energy above the most stable polymorph in this dataset: 0 meV per atom
- D(E_F): 1.090 states/eV per atom
- Space group: No. 123

Cell: 4.8465 4.8465 4.9778 Å, 90.00 90.00 90.00°
Element x y z (fractional)
Pm 0.0000 0.5000 0.0000
Pm 0.5000 0.0000 0.0000
Y 0.0000 0.0000 0.5000
Sn 0.5000 0.5000 0.5000



Record 9
The following is a DFT calculation (PBE) of crystalline PmYSn4 at its relaxed geometry.

Output
- Formation enthalpy at 0 K: -0.405 eV/atom
- Total moment: 0.00 μB/cell
- D(E_F): 0.455 states/eV per atom
- Space group: No. 65

Cell: 6.1712 9.7749 6.2418 Å, 90.00 90.00 90.00°
Element x y z (fractional)
Pm 0.0000 0.0000 0.0000
Pm 0.5000 0.5000 0.0000
Y 0.0000 0.5000 0.5000
Y 0.5000 0.0000 0.5000
Sn 0.2500 0.2500 0.2523
Sn 0.2500 0.2500 0.7477
Sn 0.2500 0.7500 0.2523
Sn 0.2500 0.7500 0.7477
Sn 0.7500 0.2500 0.2523
Sn 0.7500 0.2500 0.7477
Sn 0.7500 0.7500 0.2523
Sn 0.7500 0.7500 0.7477



Record 10
The following is a DFT calculation (PBE) of crystalline Pm2YSn at its relaxed geometry.

Output
- Formation enthalpy at 0 K: -0.317 eV/atom
- Total moment: 0.00 μB/cell
- Energy above the most stable polymorph in this dataset: 123 meV per atom
- D(E_F): 1.466 states/eV per atom
- Space group: No. 63

Cell: 8.5528 8.1492 6.8489 Å, 90.00 90.00 90.00°
Element x y z (fractional)
Pm 0.2113 0.0000 0.0000
Pm 0.2113 0.0000 0.5000
Pm 0.2887 0.5000 0.0000
Pm 0.2887 0.5000 0.5000
Pm 0.7113 0.5000 0.0000
Pm 0.7113 0.5000 0.5000
Pm 0.7887 0.0000 0.0000
Pm 0.7887 0.0000 0.5000
Y 0.0000 0.3165 0.2500
Y 0.0000 0.6835 0.7500
Y 0.5000 0.1835 0.7500
Y 0.5000 0.8165 0.2500
Sn 0.0000 0.2889 0.7500
Sn 0.0000 0.7111 0.2500
Sn 0.5000 0.2111 0.2500
Sn 0.5000 0.7889 0.7500



Record 11
The following is a DFT calculation (PBE) of crystalline Pm2Y2Sn7 at its relaxed geometry.

Output
- Formation enthalpy at 0 K: -0.436 eV/atom
- Total moment: 0.00 μB/cell
- D(E_F): 0.769 states/eV per atom
- Space group: No. 12

Cell: 7.6913 7.6913 6.1735 Å, 108.89 108.89 97.08°
Element x y z (fractional)
Pm 0.1510 0.1510 0.3822
Pm 0.8490 0.8490 0.6178
Y 0.3428 0.6572 0.0000
Y 0.6572 0.3428 0.0000
Sn 0.0864 0.5916 0.3183
Sn 0.2119 0.2119 0.9325
Sn 0.4084 0.9136 0.6817
Sn 0.5000 0.5000 0.5000
Sn 0.5916 0.0864 0.3183
Sn 0.7881 0.7881 0.0675
Sn 0.9136 0.4084 0.6817



Record 12
The following is a DFT calculation (PBE) of crystalline Pm4YSn3 at its relaxed geometry.

Output
- Formation enthalpy at 0 K: -0.527 eV/atom
- Total moment: 0.01 μB/cell
- D(E_F): 1.204 states/eV per atom
- Space group: No. 139

Cell: 4.9304 4.9304 18.9527 Å, 90.00 90.00 90.00°
Element x y z (fractional)
Pm 0.0000 0.5000 0.1315
Pm 0.0000 0.5000 0.3685
Pm 0.0000 0.5000 0.6315
Pm 0.0000 0.5000 0.8685
Pm 0.5000 0.0000 0.1315
Pm 0.5000 0.0000 0.3685
Pm 0.5000 0.0000 0.6315
Pm 0.5000 0.0000 0.8685
Y 0.0000 0.0000 0.0000
Y 0.5000 0.5000 0.5000
Sn 0.0000 0.0000 0.2491
Sn 0.0000 0.0000 0.5000
Sn 0.0000 0.0000 0.7509
Sn 0.5000 0.5000 0.0000
Sn 0.5000 0.5000 0.2509
Sn 0.5000 0.5000 0.7491



Record 13
The following is a DFT calculation (PBE) of crystalline Pm3YSn at its relaxed geometry.

Output
- Formation enthalpy at 0 K: -0.272 eV/atom
- Total moment: 0.00 μB/cell
- D(E_F): 1.039 states/eV per atom
- Space group: No. 14

Cell: 8.8948 8.7005 9.8694 Å, 90.00 121.62 90.00°
Element x y z (fractional)
Pm 0.0877 0.0897 0.3009
Pm 0.0877 0.4103 0.8009
Pm 0.3004 0.0639 0.7078
Pm 0.3004 0.4361 0.2078
Pm 0.4017 0.7027 0.9400
Pm 0.4017 0.7973 0.4400
Pm 0.5983 0.2027 0.5600
Pm 0.5983 0.2973 0.0600
Pm 0.6996 0.5639 0.7922
Pm 0.6996 0.9361 0.2922
Pm 0.9123 0.5897 0.1991
Pm 0.9123 0.9103 0.6991
Y 0.2560 0.0636 0.0437
Y 0.2560 0.4364 0.5437
Y 0.7440 0.5636 0.4563
Y 0.7440 0.9364 0.9563
Sn 0.0956 0.7452 0.0362
Sn 0.0956 0.7548 0.5362
Sn 0.9044 0.2452 0.4638
Sn 0.9044 0.2548 0.9638



Record 14
The following is a DFT calculation (PBE) of crystalline PmY2Sn9 at its relaxed geometry.

Output
- Formation enthalpy at 0 K: -0.449 eV/atom
- Total moment: 0.00 μB/cell
- D(E_F): 0.475 states/eV per atom
- Space group: No. 123

Cell: 4.8104 4.8104 13.7639 Å, 90.00 90.00 90.00°
Element x y z (fractional)
Pm 0.0000 0.0000 0.0000
Y 0.0000 0.0000 0.3340
Y 0.0000 0.0000 0.6660
Sn 0.0000 0.5000 0.1692
Sn 0.0000 0.5000 0.5000
Sn 0.0000 0.5000 0.8308
Sn 0.5000 0.0000 0.1692
Sn 0.5000 0.0000 0.5000
Sn 0.5000 0.0000 0.8308
Sn 0.5000 0.5000 0.0000
Sn 0.5000 0.5000 0.3346
Sn 0.5000 0.5000 0.6654



Record 15
The following is a DFT calculation (PBE) of crystalline Pm4YSn4 at its relaxed geometry.

Output
- Formation enthalpy at 0 K: -0.482 eV/atom
- Total moment: 0.00 μB/cell
- D(E_F): 0.954 states/eV per atom
- Space group: No. 86

Cell: 9.5442 9.5442 6.4033 Å, 90.00 90.00 90.00°
Element x y z (fractional)
Pm 0.0426 0.6667 0.1203
Pm 0.1667 0.9574 0.6203
Pm 0.3333 0.5426 0.6203
Pm 0.4574 0.8333 0.1203
Pm 0.5426 0.1667 0.8797
Pm 0.6667 0.4574 0.3797
Pm 0.8333 0.0426 0.3797
Pm 0.9574 0.3333 0.8797
Y 0.2500 0.2500 0.2500
Y 0.7500 0.7500 0.7500
Sn 0.0237 0.6403 0.6153
Sn 0.1403 0.9763 0.1153
Sn 0.3597 0.5237 0.1153
Sn 0.4763 0.8597 0.6153
Sn 0.5237 0.1403 0.3847
Sn 0.6403 0.4763 0.8847
Sn 0.8597 0.0237 0.8847
Sn 0.9763 0.3597 0.3847



Record 16
The following is a DFT calculation (PBE) of crystalline Pm5YSn2 at its relaxed geometry.

Output
- Formation enthalpy at 0 K: -0.294 eV/atom
- Total moment: 0.00 μB/cell
- D(E_F): 1.387 states/eV per atom
- Space group: No. 71

Cell: 4.6130 10.0375 11.1440 Å, 90.00 90.00 90.00°
Element x y z (fractional)
Pm 0.0000 0.0000 0.0000
Pm 0.0000 0.3141 0.3421
Pm 0.0000 0.3141 0.6579
Pm 0.0000 0.6859 0.3421
Pm 0.0000 0.6859 0.6579
Pm 0.5000 0.1859 0.1579
Pm 0.5000 0.1859 0.8421
Pm 0.5000 0.5000 0.5000
Pm 0.5000 0.8141 0.1579
Pm 0.5000 0.8141 0.8421
Y 0.0000 0.5000 0.0000
Y 0.5000 0.0000 0.5000
Sn 0.0000 0.0000 0.2974
Sn 0.0000 0.0000 0.7026
Sn 0.5000 0.5000 0.2026
Sn 0.5000 0.5000 0.7974



Record 17
The following is a DFT calculation (PBE) of crystalline PmY2Sn at its relaxed geometry.

Output
- Formation enthalpy at 0 K: -0.318 eV/atom
- Total moment: 0.00 μB/cell
- Energy above the most stable polymorph in this dataset: 108 meV per atom
- D(E_F): 1.400 states/eV per atom
- Space group: No. 123

Cell: 3.8212 3.8212 8.3185 Å, 90.00 90.00 90.00°
Element x y z (fractional)
Pm 0.0000 0.0000 0.0000
Y 0.5000 0.5000 0.2840
Y 0.5000 0.5000 0.7160
Sn 0.0000 0.0000 0.5000



Record 18
The following is a DFT calculation (PBE) of crystalline PmY3Sn3 at its relaxed geometry.

Output
- Formation enthalpy at 0 K: -0.562 eV/atom
- Total moment: 0.00 μB/cell
- D(E_F): 1.029 states/eV per atom
- Space group: No. 176

Cell: 9.2088 9.2088 5.4366 Å, 90.00 90.00 120.00°
Element x y z (fractional)
Pm 0.3333 0.6667 0.2500
Pm 0.6667 0.3333 0.7500
Y 0.0030 0.2401 0.2500
Y 0.2371 0.9970 0.2500
Y 0.2401 0.2371 0.7500
Y 0.7599 0.7629 0.2500
Y 0.7629 0.0030 0.7500
Y 0.9970 0.7599 0.7500
Sn 0.0736 0.4502 0.7500
Sn 0.3766 0.9264 0.7500
Sn 0.4502 0.3766 0.2500
Sn 0.5498 0.6234 0.7500
Sn 0.6234 0.0736 0.2500
Sn 0.9264 0.5498 0.2500



Record 19
The following is a DFT calculation (PBE) of crystalline Pm2YSn6 at its relaxed geometry.

Output
- Formation enthalpy at 0 K: -0.484 eV/atom
- Total moment: 0.00 μB/cell
- D(E_F): 0.608 states/eV per atom
- Space group: No. 8

Cell: 9.4672 9.4672 4.4893 Å, 103.69 103.69 42.87°
Element x y z (fractional)
Pm 0.0000 0.0000 0.0000
Pm 0.2309 0.2309 0.2307
Y 0.5578 0.5578 0.0585
Sn 0.0183 0.5961 0.8071
Sn 0.2131 0.6367 0.4240
Sn 0.3439 0.8993 0.6218
Sn 0.5961 0.0183 0.8071
Sn 0.6367 0.2131 0.4240
Sn 0.8993 0.3439 0.6218



Record 20
The following is a DFT calculation (PBE) of crystalline Pm5YSn8 at its relaxed geometry.

Output
- Formation enthalpy at 0 K: -0.554 eV/atom
- Total moment: 0.00 μB/cell
- D(E_F): 0.656 states/eV per atom
- Space group: No. 82

Cell: 8.1466 8.1466 8.1466 Å, 107.06 107.06 114.40°
Element x y z (fractional)
Pm 0.0000 0.0000 0.0000
Pm 0.2605 0.1214 0.6354
Pm 0.3749 0.7395 0.8609
Pm 0.4860 0.6251 0.3646
Pm 0.8786 0.5140 0.1391
Y 0.7500 0.2500 0.5000
Sn 0.1030 0.3642 0.9025
Sn 0.1113 0.3518 0.4073
Sn 0.2960 0.8887 0.2405
Sn 0.4617 0.2005 0.0975
Sn 0.6358 0.5383 0.7388
Sn 0.6482 0.0555 0.7595
Sn 0.7995 0.8970 0.2612
Sn 0.9445 0.7040 0.5927